No. 1
A plane-wave DFT calculation with GGA-PBE was carried out for a relaxed La8SbRu3Br4 crystal. Values from VASP.

Summary:
Raw formation energy (meV per atom): -988
VASP energy (eV/atom): -5.87

Geometry as Quantum ESPRESSO input:
```
&SYSTEM
  ibrav = 0, nat = 16, ntyp = 4
/
ATOMIC_SPECIES
La 138.91 La.upf
Sb 121.76 Sb.upf
Br 79.90 Br.upf
Ru 101.07 Ru.upf
ATOMIC_POSITIONS crystal
La 0.7358 0.7075 0.4715
La 0.2470 0.6971 0.9501
La 0.2969 0.3029 0.0499
La 0.2642 0.2925 0.5285
La 0.2470 0.6970 0.4941
La 0.7530 0.3029 0.0499
La 0.7530 0.3030 0.5059
La 0.7031 0.6971 0.9501
Sb 0.0000 0.5000 0.0000
Br 0.0000 0.0000 0.0000
Br 0.5000 0.0000 0.0000
Br 0.0000 0.0000 0.5000
Br 0.5000 0.0000 0.5000
Ru 0.5000 0.5000 0.0000
Ru 0.0000 0.5000 0.5000
Ru 0.5000 0.5000 0.5000
CELL_PARAMETERS angstrom
8.6452 0.0000 0.0000
0.0000 9.2165 0.3988
-4.3226 -4.3190 6.1149
```

***

No. 2
A plane-wave DFT calculation with GGA-PBE was carried out for a relaxed InCu3 crystal. Values from VASP.

Summary:
VASP energy (eV/atom): -3.52
Formation energy from the elements (eV per atom): 0.240

Geometry as Quantum ESPRESSO input:
```
&SYSTEM
  ibrav = 0, nat = 4, ntyp = 2
/
ATOMIC_SPECIES
Cu 63.55 Cu.upf
In 114.82 In.upf
ATOMIC_POSITIONS crystal
Cu 0.6667 0.3333 0.2500
Cu 0.0000 0.0000 0.4781
Cu 0.0000 0.0000 0.0219
In 0.6667 0.3333 0.7500
CELL_PARAMETERS angstrom
-0.6228 -0.3799 2.8362
-1.3704 -1.6076 -2.0282
5.8888 -5.6898 0.5311
```